(1)
# AcVSb2

A geometry-optimized AcVSb2 structure (PBE, Alexandria via LeMat-Bulk).

Computed properties:
The density of states at the Fermi level is 24.36 states/eV per cell. The calculation puts the total energy at -4.9583 eV per atom. The calculation puts the formation energy without anion corrections at 0.4097 eV per atom.

Cell lengths 4.8049, 4.8049, 26.8467 Å; angles 90.00, 90.00, 120.00 degrees
Space group R-3m (No. 166, hexagonal axes)
Unique sites:
Ac  0.0000  0.0000  0.0000 x3
V  0.0000  0.0000  0.5000 x3
Sb  0.0000  0.0000  0.4032 x6

***

(2)
# AcVSb2

A geometry-optimized AcVSb2 structure (PBE, Alexandria via LeMat-Bulk).

Computed properties:
The density of states at the Fermi level is 4.44 states/eV per cell. The calculation puts the total energy at -5.5041 eV per atom. The calculation puts the formation energy without anion corrections at -0.1362 eV per atom.

Cell lengths 5.064, 5.064, 4.376 Å; angles 90.00, 90.00, 90.00 degrees
Space group P4/mmm (No. 123)
Unique sites:
Ac  0.000  0.000  0.000 x1
V  0.500  0.500  0.000 x1
Sb  0.000  0.500  0.500 x2

***

> Which of these has the lowest formation energy without anion corrections?

number 2